VASP calculation (GGA-PBE) on an optimized crystal structure of Nb4Ni2N.

```
Nb4Ni2N
1.0
0.0000 5.8361 5.8361
5.8361 0.0000 5.8361
5.8361 5.8361 0.0000
Nb Ni N
16 8 4
Cartesian
0.0000 0.0000 0.0000
2.9180 2.9180 0.0000
2.9180 0.0000 2.9180
4.3771 4.3771 2.2475
4.3771 2.2475 4.3771
6.5067 4.3771 4.3771
7.2951 7.2951 5.1655
7.2951 5.1655 7.2951
9.4247 7.2951 7.2951
0.0000 2.9180 2.9180
2.2475 4.3771 4.3771
4.3771 6.5067 4.3771
4.3771 4.3771 6.5067
5.1655 7.2951 7.2951
7.2951 9.4247 7.2951
7.2951 7.2951 9.4247
9.2815 5.3087 5.3087
2.3907 2.3907 2.3907
6.3635 6.3635 2.3907
6.3635 2.3907 6.3635
5.3087 9.2815 5.3087
5.3087 5.3087 9.2815
9.2815 9.2815 9.2815
2.3907 6.3635 6.3635
5.8361 2.9180 2.9180
2.9180 5.8361 2.9180
2.9180 2.9180 5.8361
5.8361 5.8361 5.8361
```

Calculated values
Calculated volume   397.55 Å³ per cell
Magnetization   0.00 μB per cell
Raw formation energy   -0.58 eV per atom
Energy above the lowest structure with this stoichiometry   0.0 meV/atom
SG   Fd-3m (227)


VASP calculation (GGA-PBE) on an optimized crystal structure of Ba2AsRh.

```
Ba2AsRh
1.0
-4.2932 4.2932 3.2985
4.2932 -4.2932 3.2985
4.2932 4.2932 -3.2985
Ba As Rh
4 2 2
Cartesian
6.4399 1.7817 -0.8246
1.7817 2.1466 0.8246
-2.1466 2.5116 2.4739
2.5116 2.1466 4.1231
4.2932 0.0000 1.6492
0.0000 0.0000 3.2985
0.0000 0.0000 0.0000
0.0000 4.2932 1.6492
```

Calculated values
Calculated volume   243.19 Å³ per cell
Magnetization   0.00 μB per cell
ΔE_f   -0.193 eV per atom
SG   I-42d (122)


VASP calculation (GGA-PBE) on an optimized crystal structure of Ho3Ge3Pt2.

```
Ho3Ge3Pt2
1.0
8.0008 0.0000 0.0000
0.0000 14.4955 0.0000
0.0000 0.0000 5.6897
Ho Ge Pt
12 12 8
Cartesian
0.3092 1.6060 0.7308
0.3092 5.6418 0.7308
1.4683 3.6239 3.5911
2.5321 10.8716 0.7463
3.6912 8.8537 3.5757
3.6912 12.8895 3.5757
4.3096 1.6060 2.1140
4.3096 5.6418 2.1140
5.4687 3.6239 4.9434
6.5325 10.8716 2.0986
7.6916 8.8537 4.9588
7.6916 12.8895 4.9588
1.4422 10.8716 3.5468
1.5829 0.5585 3.4184
1.5829 6.6892 3.4184
2.4175 7.8063 0.5736
2.4175 13.9369 0.5736
2.5582 3.6239 0.7020
5.4427 10.8716 4.9877
5.5833 0.5585 5.1161
5.5833 6.6892 5.1161
6.4180 7.8063 2.2713
6.4180 13.9369 2.2713
6.5586 3.6239 2.1429
0.7080 8.8183 2.1142
0.7080 12.9249 2.1142
3.2924 1.5706 4.9591
3.2924 5.6772 4.9591
4.7085 8.8183 0.7306
4.7085 12.9249 0.7306
7.2928 1.5706 3.5754
7.2928 5.6772 3.5754
```

Calculated values
Calculated volume   659.86 Å³ per cell
Magnetization   0.00 μB per cell
ΔE_f   -1.020 eV per atom
SG   Pnma (62)


VASP calculation (GGA-PBE) on an optimized crystal structure of LiBeIn.

```
LiBeIn
1.0
2.1379 1.2343 6.0907
-2.1379 1.2343 6.0907
0.0000 -2.4687 6.0907
Li Be In
2 2 2
Cartesian
0.0000 0.0000 0.0000
0.0000 0.0000 2.9690
0.0000 0.0000 13.3581
0.0000 0.0000 15.5644
0.0000 0.0000 7.7321
0.0000 0.0000 10.7769
```

Calculated values
Calculated volume   96.44 Å³ per cell
Magnetization   0.00 μB per cell
ΔE_f   0.037 eV per atom
Energy above the lowest structure with this stoichiometry   5.5 meV/atom
SG   R3m (160)


VASP calculation (GGA-PBE) on an optimized crystal structure of Ca3CeNp2P6.

```
Ca3CeNp2P6
1.0
3.5296 -6.1134 0.0000
3.5296 6.1134 0.0000
-2.3547 0.0000 6.6308
Ca Ce Np P
3 1 2 6
Cartesian
0.0000 0.0000 0.0000
3.5296 2.0188 0.0000
3.5296 -2.0188 0.0000
2.3522 0.0000 3.3154
2.3522 4.0728 3.3154
2.3522 -4.0728 3.3154
1.1473 2.0856 1.8099
-0.0573 0.0000 4.8230
1.1473 -2.0856 1.8099
3.5571 2.0856 4.8209
4.7617 0.0000 1.8078
3.5571 -2.0856 4.8209
```

Calculated values
Calculated volume   286.16 Å³ per cell
Magnetization   6.09 μB per cell
ΔE_f   -1.091 eV per atom
SG   C2/m (12)


VASP calculation (GGA-PBE) on an optimized crystal structure of SmCd2BiO6.

```
SmCd2BiO6
1.0
2.9025 1.6758 5.1105
-2.9025 1.6758 5.1105
0.0000 -3.3515 5.1105
Sm Cd Bi O
1 2 1 6
Cartesian
0.0000 0.0000 0.0000
0.0000 0.0000 3.3524
0.0000 0.0000 11.0999
0.0000 0.0000 7.7821
-0.7397 -1.7067 6.7131
-1.6590 -0.0613 9.1809
-1.1082 1.4939 6.7131
0.8826 -1.4061 9.1809
1.8478 0.2128 6.7131
0.7764 1.4674 9.1809
```

Calculated values
Calculated volume   149.15 Å³ per cell
Magnetization   0.00 μB per cell
Raw formation energy   -1.59 eV per atom
SG   R3 (146)


VASP calculation (GGA-PBE) on an optimized crystal structure of Tb2Sm4Th5.

```
Tb2Sm4Th5
1.0
8.8889 0.0000 0.0000
0.0000 3.4773 0.0000
-0.9133 0.0000 11.7421
Tb Sm Th
2 4 5
Cartesian
0.3839 0.0000 1.6051
7.5917 0.0000 10.1370
1.0452 1.7386 4.7302
1.7707 1.7386 11.1133
6.2050 1.7386 0.6288
6.9305 1.7386 7.0119
1.2383 0.0000 7.9494
3.5954 0.0000 2.5079
3.9878 0.0000 5.8710
4.3803 0.0000 9.2341
6.7374 0.0000 3.7927
```

Calculated values
Calculated volume   362.94 Å³ per cell
Magnetization   0.00 μB per cell
ΔE_f   0.146 eV per atom
SG   P2/m (10)


VASP calculation (GGA-PBE) on an optimized crystal structure of Cr2FeTe.

```
Cr2FeTe
1.0
0.0000 3.0063 3.0063
3.0063 0.0000 3.0063
3.0063 3.0063 0.0000
Cr Fe Te
2 1 1
Cartesian
0.0000 0.0000 0.0000
1.5031 1.5031 1.5031
4.5094 4.5094 4.5094
3.0063 3.0063 3.0063
```

Calculated values
Calculated volume   54.34 Å³ per cell
Magnetization   2.00 μB per cell
Raw formation energy   0.36 eV per atom
Energy above the lowest structure with this stoichiometry   0.0 meV/atom
SG   F-43m (216)


VASP calculation (GGA-PBE) on an optimized crystal structure of CsTlTe2.

```
CsTlTe2
1.0
6.8188 0.0000 0.0000
0.0000 6.0404 0.0000
-6.7599 0.0000 17.2790
Cs Tl Te
4 4 8
Cartesian
-0.1302 1.5054 4.3298
-3.5102 1.5148 12.9693
3.5690 4.5255 4.3097
0.1891 4.5350 12.9492
-1.6771 3.0243 8.0009
-5.0571 6.0362 16.6404
5.1159 0.0041 0.6386
1.7359 3.0160 9.2781
0.7976 4.1364 1.7210
-2.5824 4.9241 10.3605
-0.7702 1.1180 10.3549
2.6098 1.9022 1.7154
-2.5509 4.1382 15.5636
0.8290 4.9224 6.9241
2.6412 1.1163 6.9185
-0.7387 1.9039 15.5580
```

Calculated values
Calculated volume   711.68 Å³ per cell
Magnetization   0.00 μB per cell
Raw formation energy   -0.45 eV per atom
SG   P2_1/c (14)


VASP calculation (GGA-PBE) on an optimized crystal structure of Nd2GaGe4Ir3.

```
Nd2GaGe4Ir3
1.0
4.3097 0.0000 0.0000
0.0000 4.3097 0.0000
0.0000 0.0000 10.2798
Nd Ga Ge Ir
2 1 4 3
Cartesian
0.0000 2.1549 2.4876
2.1549 0.0000 7.7921
0.0000 0.0000 5.1399
0.0000 0.0000 0.0000
0.0000 2.1549 6.5988
2.1549 0.0000 3.6810
2.1549 2.1549 0.0000
0.0000 2.1549 9.0310
2.1549 0.0000 1.2488
2.1549 2.1549 5.1399
```

Calculated values
Calculated volume   190.93 Å³ per cell
Magnetization   0.00 μB per cell
ΔE_f   -0.668 eV per atom
SG   P-4m2 (115)


VASP calculation (GGA-PBE) on an optimized crystal structure of VMoPt.

```
VMoPt
1.0
4.3640 0.0000 0.0000
-2.1820 3.7793 0.0000
0.0000 0.0000 5.4391
V Mo Pt
2 2 2
Cartesian
0.0000 0.0000 0.0000
0.0000 2.5195 3.5707
0.0000 2.5195 0.7267
2.1820 1.2598 4.3676
0.0000 0.0000 2.8315
2.1820 1.2598 1.6236
```

Calculated values
Calculated volume   89.71 Å³ per cell
Magnetization   0.00 μB per cell
ΔE_f   -0.243 eV per atom
Energy above the lowest structure with this stoichiometry   37.3 meV/atom
SG   P3m1 (156)


VASP calculation (GGA-PBE) on an optimized crystal structure of SrCaH3.

```
SrCaH3
1.0
7.1077 0.0000 0.0000
0.0000 6.2106 0.0000
-1.9489 0.0000 7.2131
Sr Ca H
4 4 12
Cartesian
0.7465 1.4358 1.1912
-0.2280 1.6695 4.7978
5.3868 4.5411 2.4153
4.4123 4.7749 6.0219
1.8061 4.6173 3.2110
0.8316 4.6986 6.8176
4.3272 1.5120 0.3955
3.3527 1.5933 4.0021
-0.3001 4.2048 4.6804
0.6744 5.1111 1.0739
0.3777 0.6733 6.8394
1.3522 2.4320 3.2329
3.1044 3.2871 1.4625
2.1300 6.0288 5.0691
3.0288 0.1818 2.1441
2.0544 2.9235 5.7507
3.8066 3.7786 3.9803
4.7811 5.5373 0.3737
4.4844 1.0995 6.1393
5.4589 2.0058 2.5327
```

Calculated values
Calculated volume   318.41 Å³ per cell
Magnetization   0.00 μB per cell
Energy above the lowest structure with this stoichiometry   0.0 meV/atom
SG   P2_1/c (14)


Question: calculated volume of number 12 (SrCaH3)?
Answer: 318.41 Å³ per cell